Run w
An optimized crystal structure of Sr8LiHg2. Source: the Alexandria database, functional PBE.

CIF file:
```
data_Sr8LiHg2
_cell_length_a 10.3386
_cell_length_b 15.2445
_cell_length_c 6.5119
_cell_angle_alpha 90.00
_cell_angle_beta 105.73
_cell_angle_gamma 90.00
_symmetry_space_group_name_H-M 'C 1 m 1'
_symmetry_Int_Tables_number 8
loop_
_symmetry_equiv_pos_as_xyz
'x,y,z'
'x,-y,z'
'x+1/2,y+1/2,z'
'x+1/2,-y+1/2,z'
loop_
_atom_site_label
_atom_site_type_symbol
_atom_site_fract_x
_atom_site_fract_y
_atom_site_fract_z
Sr1 Sr 0.0000 0.0000 0.0000
Sr2 Sr 0.0788 0.3694 0.7871
Sr3 Sr 0.1797 0.1306 0.6048
Sr4 Sr 0.2598 0.5000 0.3923
Sr5 Sr 0.3791 0.2400 0.1959
Li1 Li 0.3802 0.0000 0.1902
Hg1 Hg 0.3793 0.3139 0.6962
```

---

Run x
An optimized crystal structure of Sr8LiHg2. Source: the Alexandria database, functional PBE.

CIF file:
```
data_Sr8LiHg2
_cell_length_a 20.6979
_cell_length_b 5.7424
_cell_length_c 8.3569
_cell_angle_alpha 90.00
_cell_angle_beta 108.28
_cell_angle_gamma 90.00
_symmetry_space_group_name_H-M 'C 1 2/m 1'
_symmetry_Int_Tables_number 12
loop_
_symmetry_equiv_pos_as_xyz
'x,y,z'
'-x,-y,-z'
'-x,y,-z'
'x,-y,z'
'x+1/2,y+1/2,z'
'-x+1/2,-y+1/2,-z'
'-x+1/2,y+1/2,-z'
'x+1/2,-y+1/2,z'
loop_
_atom_site_label
_atom_site_type_symbol
_atom_site_fract_x
_atom_site_fract_y
_atom_site_fract_z
Sr1 Sr 0.0345 0.0000 0.2808
Sr2 Sr 0.0976 0.5000 0.9772
Sr3 Sr 0.1759 0.5000 0.4677
Sr4 Sr 0.1983 0.0000 0.8172
Li1 Li 0.0000 0.5000 0.5000
Hg1 Hg 0.1839 0.0000 0.2042
```

---

run x wins, 0.9 kJ/mol of atoms ahead of the next structure.

---

Run w
An optimized crystal structure of SrLi3Hg2. Source: the Alexandria database, functional PBE.

CIF file:
```
data_SrLi3Hg2
_cell_length_a 16.3308
_cell_length_b 4.5519
_cell_length_c 8.7247
_cell_angle_alpha 90.00
_cell_angle_beta 116.00
_cell_angle_gamma 90.00
_symmetry_space_group_name_H-M 'C 1 2/m 1'
_symmetry_Int_Tables_number 12
loop_
_symmetry_equiv_pos_as_xyz
'x,y,z'
'-x,-y,-z'
'-x,y,-z'
'x,-y,z'
'x+1/2,y+1/2,z'
'-x+1/2,-y+1/2,-z'
'-x+1/2,y+1/2,-z'
'x+1/2,-y+1/2,z'
loop_
_atom_site_label
_atom_site_type_symbol
_atom_site_fract_x
_atom_site_fract_y
_atom_site_fract_z
Sr1 Sr 0.1484 0.0000 0.0572
Li1 Li 0.0429 0.0000 0.3791
Li2 Li 0.0869 0.5000 0.6605
Li3 Li 0.1914 0.5000 0.4692
Hg1 Hg 0.0272 0.5000 0.1873
Hg2 Hg 0.1912 0.0000 0.6934
```

---

Run x
An optimized crystal structure of SrLi3Hg2. Source: the Alexandria database, functional PBE.

CIF file:
```
data_SrLi3Hg2
_cell_length_a 10.3908
_cell_length_b 10.3908
_cell_length_c 4.6307
_cell_angle_alpha 90.00
_cell_angle_beta 90.00
_cell_angle_gamma 120.00
_symmetry_space_group_name_H-M 'P 6/m m m'
_symmetry_Int_Tables_number 191
_symmetry_space_group_name_Hall '-P 6 2'
loop_
_atom_site_label
_atom_site_type_symbol
_atom_site_fract_x
_atom_site_fract_y
_atom_site_fract_z
Sr1 Sr 0.0000 0.0000 0.0000
Sr2 Sr 0.3333 0.6667 0.5000
Li1 Li 0.0000 0.2960 0.5000
Li2 Li 0.0000 0.5000 0.0000
Hg1 Hg 0.1902 0.3803 0.0000
```

---

run x wins, 1.0 kJ/mol of atoms ahead of the next structure.

---

Run w
An optimized crystal structure of Sr4LiHg. Source: the Alexandria database, functional PBE.

CIF file:
```
data_Sr4LiHg
_cell_length_a 10.7832
_cell_length_b 10.7832
_cell_length_c 10.7832
_cell_angle_alpha 90.00
_cell_angle_beta 90.00
_cell_angle_gamma 90.00
_symmetry_space_group_name_H-M 'F -4 3 m'
_symmetry_Int_Tables_number 216
_symmetry_space_group_name_Hall 'F -4 2 3'
loop_
_atom_site_label
_atom_site_type_symbol
_atom_site_fract_x
_atom_site_fract_y
_atom_site_fract_z
Sr1 Sr 0.1251 0.1251 0.1251
Li1 Li 0.0000 0.0000 0.5000
Hg1 Hg 0.2500 0.2500 0.7500
```

---

Run x
An optimized crystal structure of Sr4LiHg. Source: the Alexandria database, functional PBE.

CIF file:
```
data_Sr4LiHg
_cell_length_a 4.1450
_cell_length_b 4.1450
_cell_length_c 14.3332
_cell_angle_alpha 90.00
_cell_angle_beta 90.00
_cell_angle_gamma 90.00
_symmetry_space_group_name_H-M 'P 4/m m m'
_symmetry_Int_Tables_number 123
_symmetry_space_group_name_Hall '-P 4 2'
loop_
_atom_site_label
_atom_site_type_symbol
_atom_site_fract_x
_atom_site_fract_y
_atom_site_fract_z
Sr1 Sr 0.0000 0.0000 0.1325
Sr2 Sr 0.5000 0.5000 0.3533
Li1 Li 0.0000 0.0000 0.5000
Hg1 Hg 0.5000 0.5000 0.0000
```

---

run x wins, 49.2 kJ/mol of atoms ahead of the next structure.

---

Run w
An optimized crystal structure of Sr12LiHg6. Source: the Alexandria database, functional PBE.

CIF file:
```
data_Sr12LiHg6
_cell_length_a 11.5998
_cell_length_b 11.5998
_cell_length_c 11.5998
_cell_angle_alpha 90.00
_cell_angle_beta 90.00
_cell_angle_gamma 90.00
_symmetry_space_group_name_H-M 'I m -3'
_symmetry_Int_Tables_number 204
_symmetry_space_group_name_Hall '-I 2 2 3'
loop_
_atom_site_label
_atom_site_type_symbol
_atom_site_fract_x
_atom_site_fract_y
_atom_site_fract_z
Sr1 Sr 0.0000 0.2977 0.1805
Li1 Li 0.0000 0.0000 0.0000
Hg1 Hg 0.0000 0.1316 0.5000
```

---

Run x
An optimized crystal structure of Sr12LiHg6. Source: the Alexandria database, functional PBE.

CIF file:
```
data_Sr12LiHg6
_cell_length_a 14.7236
_cell_length_b 14.7236
_cell_length_c 13.3240
_cell_angle_alpha 90.00
_cell_angle_beta 90.00
_cell_angle_gamma 120.00
_symmetry_space_group_name_H-M 'R -3'
_symmetry_Int_Tables_number 148
_symmetry_space_group_name_Hall '-R 3'
loop_
_atom_site_label
_atom_site_type_symbol
_atom_site_fract_x
_atom_site_fract_y
_atom_site_fract_z
Sr1 Sr 0.0286 0.2064 0.3849
Sr2 Sr 0.0416 0.2039 0.8769
Li1 Li 0.0000 0.0000 0.0000
Hg1 Hg 0.0445 0.2704 0.6389
```

---

run w wins, 8.4 kJ/mol of atoms ahead of the next structure.

---

Run w
An optimized crystal structure of Sr2Li2Hg. Source: the Alexandria database, functional PBE.

CIF file:
```
data_Sr2Li2Hg
_cell_length_a 7.7691
_cell_length_b 7.7691
_cell_length_c 5.2099
_cell_angle_alpha 90.00
_cell_angle_beta 90.00
_cell_angle_gamma 90.00
_symmetry_space_group_name_H-M 'P 4/m b m'
_symmetry_Int_Tables_number 127
_symmetry_space_group_name_Hall '-P 4 2ab'
loop_
_atom_site_label
_atom_site_type_symbol
_atom_site_fract_x
_atom_site_fract_y
_atom_site_fract_z
Sr1 Sr 0.1855 0.3145 0.0000
Li1 Li 0.1299 0.6299 0.5000
Hg1 Hg 0.0000 0.0000 0.5000
```

---

Run x
An optimized crystal structure of Sr2Li2Hg. Source: the Alexandria database, functional PBE.

CIF file:
```
data_Sr2Li2Hg
_cell_length_a 12.1523
_cell_length_b 4.9281
_cell_length_c 12.1699
_cell_angle_alpha 90.00
_cell_angle_beta 117.69
_cell_angle_gamma 90.00
_symmetry_space_group_name_H-M 'C 1 2/m 1'
_symmetry_Int_Tables_number 12
loop_
_symmetry_equiv_pos_as_xyz
'x,y,z'
'-x,-y,-z'
'-x,y,-z'
'x,-y,z'
'x+1/2,y+1/2,z'
'-x+1/2,-y+1/2,-z'
'-x+1/2,y+1/2,-z'
'x+1/2,-y+1/2,z'
loop_
_atom_site_label
_atom_site_type_symbol
_atom_site_fract_x
_atom_site_fract_y
_atom_site_fract_z
Sr1 Sr 0.0104 0.0000 0.3363
Sr2 Sr 0.2005 0.0000 0.1195
Li1 Li 0.0023 0.5000 0.8805
Li2 Li 0.1643 0.5000 0.5491
Hg1 Hg 0.2258 0.5000 0.3418
```

---

run x wins, 9.6 kJ/mol of atoms ahead of the next structure.

---

Run w
An optimized crystal structure of Sr2Li2Hg. Source: the Alexandria database, functional PBE.

CIF file:
```
data_Sr2Li2Hg
_cell_length_a 6.3015
_cell_length_b 6.3015
_cell_length_c 8.0331
_cell_angle_alpha 90.00
_cell_angle_beta 90.00
_cell_angle_gamma 90.00
_symmetry_space_group_name_H-M 'I 4/m m m'
_symmetry_Int_Tables_number 139
_symmetry_space_group_name_Hall '-I 4 2'
loop_
_atom_site_label
_atom_site_type_symbol
_atom_site_fract_x
_atom_site_fract_y
_atom_site_fract_z
Sr1 Sr 0.0000 0.5000 0.2500
Li1 Li 0.0000 0.0000 0.1546
Hg1 Hg 0.0000 0.0000 0.5000
```

---

Run x
An optimized crystal structure of Sr2Li2Hg. Source: the Alexandria database, functional PBE.

CIF file:
```
data_Sr2Li2Hg
_cell_length_a 4.0204
_cell_length_b 4.0204
_cell_length_c 20.0330
_cell_angle_alpha 90.00
_cell_angle_beta 90.00
_cell_angle_gamma 90.00
_symmetry_space_group_name_H-M 'I 4/m m m'
_symmetry_Int_Tables_number 139
_symmetry_space_group_name_Hall '-I 4 2'
loop_
_atom_site_label
_atom_site_type_symbol
_atom_site_fract_x
_atom_site_fract_y
_atom_site_fract_z
Sr1 Sr 0.0000 0.0000 0.0976
Li1 Li 0.0000 0.5000 0.2500
Hg1 Hg 0.0000 0.0000 0.5000
```

---

Run y
An optimized crystal structure of Sr2Li2Hg. Source: the Alexandria database, functional PBE.

CIF file:
```
data_Sr2Li2Hg
_cell_length_a 5.0364
_cell_length_b 5.8753
_cell_length_c 10.4843
_cell_angle_alpha 90.00
_cell_angle_beta 90.00
_cell_angle_gamma 90.00
_symmetry_space_group_name_H-M 'I m m m'
_symmetry_Int_Tables_number 71
_symmetry_space_group_name_Hall '-I 2 2'
loop_
_atom_site_label
_atom_site_type_symbol
_atom_site_fract_x
_atom_site_fract_y
_atom_site_fract_z
Sr1 Sr 0.0000 0.0000 0.1914
Li1 Li 0.0000 0.2377 0.5000
Hg1 Hg 0.0000 0.5000 0.0000
```

---

run y wins, 4.1 kJ/mol of atoms ahead of the next structure.

---

Run w
An optimized crystal structure of Sr8Li2Hg. Source: the Alexandria database, functional PBE.

CIF file:
```
data_Sr8Li2Hg
_cell_length_a 5.9916
_cell_length_b 10.2937
_cell_length_c 15.7898
_cell_angle_alpha 90.00
_cell_angle_beta 90.00
_cell_angle_gamma 90.00
_symmetry_space_group_name_H-M 'I m m m'
_symmetry_Int_Tables_number 71
_symmetry_space_group_name_Hall '-I 2 2'
loop_
_atom_site_label
_atom_site_type_symbol
_atom_site_fract_x
_atom_site_fract_y
_atom_site_fract_z
Sr1 Sr 0.0000 0.0000 0.1276
Sr2 Sr 0.0000 0.2235 0.3447
Sr3 Sr 0.0000 0.3213 0.0000
Li1 Li 0.0000 0.5000 0.1993
Hg1 Hg 0.0000 0.5000 0.5000
```

---

Run x
An optimized crystal structure of Sr8Li2Hg. Source: the Alexandria database, functional PBE.

CIF file:
```
data_Sr8Li2Hg
_cell_length_a 20.7776
_cell_length_b 6.0883
_cell_length_c 8.0708
_cell_angle_alpha 90.00
_cell_angle_beta 107.85
_cell_angle_gamma 90.00
_symmetry_space_group_name_H-M 'C 1 2/m 1'
_symmetry_Int_Tables_number 12
loop_
_symmetry_equiv_pos_as_xyz
'x,y,z'
'-x,-y,-z'
'-x,y,-z'
'x,-y,z'
'x+1/2,y+1/2,z'
'-x+1/2,-y+1/2,-z'
'-x+1/2,y+1/2,-z'
'x+1/2,-y+1/2,z'
loop_
_atom_site_label
_atom_site_type_symbol
_atom_site_fract_x
_atom_site_fract_y
_atom_site_fract_z
Sr1 Sr 0.0240 0.0000 0.2876
Sr2 Sr 0.0915 0.5000 0.9319
Sr3 Sr 0.1570 0.5000 0.4658
Sr4 Sr 0.2025 0.0000 0.8055
Li1 Li 0.1815 0.0000 0.2143
Hg1 Hg 0.0000 0.5000 0.5000
```

---

run x wins, 6.4 kJ/mol of atoms ahead of the next structure.

---

Run w
An optimized crystal structure of LiTaHg2. Source: the Alexandria database, functional PBE.

CIF file:
```
data_LiTaHg2
_cell_length_a 3.5192
_cell_length_b 4.6021
_cell_length_c 9.8120
_cell_angle_alpha 90.00
_cell_angle_beta 90.00
_cell_angle_gamma 90.00
_symmetry_space_group_name_H-M 'C m m 2'
_symmetry_Int_Tables_number 35
loop_
_symmetry_equiv_pos_as_xyz
'x,y,z'
'-x,-y,z'
'-x,y,z'
'x,-y,z'
'x+1/2,y+1/2,z'
'-x+1/2,-y+1/2,z'
'-x+1/2,y+1/2,z'
'x+1/2,-y+1/2,z'
loop_
_atom_site_label
_atom_site_type_symbol
_atom_site_fract_x
_atom_site_fract_y
_atom_site_fract_z
Li1 Li 0.0000 0.0000 0.0000
Ta1 Ta 0.0000 0.5000 0.7534
Hg1 Hg 0.0000 0.0000 0.5079
Hg2 Hg 0.0000 0.5000 0.2209
```

---

Run x
An optimized crystal structure of LiTaHg2. Source: the Alexandria database, functional PBE.

CIF file:
```
data_LiTaHg2
_cell_length_a 2.8766
_cell_length_b 4.1321
_cell_length_c 6.3779
_cell_angle_alpha 90.00
_cell_angle_beta 90.31
_cell_angle_gamma 90.00
_symmetry_space_group_name_H-M 'P 1 2/m 1'
_symmetry_Int_Tables_number 10
loop_
_symmetry_equiv_pos_as_xyz
'x,y,z'
'-x,-y,-z'
'-x,y,-z'
'x,-y,z'
loop_
_atom_site_label
_atom_site_type_symbol
_atom_site_fract_x
_atom_site_fract_y
_atom_site_fract_z
Li1 Li 0.0000 0.0000 0.0000
Ta1 Ta 0.0000 0.0000 0.5000
Hg1 Hg 0.4965 0.5000 0.2433
```

---

Run y
An optimized crystal structure of LiTaHg2. Source: the Alexandria database, functional PBE.

CIF file:
```
data_LiTaHg2
_cell_length_a 9.0245
_cell_length_b 2.8705
_cell_length_c 6.1398
_cell_angle_alpha 90.00
_cell_angle_beta 96.87
_cell_angle_gamma 90.00
_symmetry_space_group_name_H-M 'C 1 2/m 1'
_symmetry_Int_Tables_number 12
loop_
_symmetry_equiv_pos_as_xyz
'x,y,z'
'-x,-y,-z'
'-x,y,-z'
'x,-y,z'
'x+1/2,y+1/2,z'
'-x+1/2,-y+1/2,-z'
'-x+1/2,y+1/2,-z'
'x+1/2,-y+1/2,z'
loop_
_atom_site_label
_atom_site_type_symbol
_atom_site_fract_x
_atom_site_fract_y
_atom_site_fract_z
Li1 Li 0.0000 0.0000 0.0000
Ta1 Ta 0.0000 0.5000 0.5000
Hg1 Hg 0.2490 0.5000 0.2404
```

---

Run z
An optimized crystal structure of LiTaHg2. Source: the Alexandria database, functional PBE.

CIF file:
```
data_LiTaHg2
_cell_length_a 3.0232
_cell_length_b 3.0232
_cell_length_c 29.3023
_cell_angle_alpha 90.00
_cell_angle_beta 90.00
_cell_angle_gamma 120.00
_symmetry_space_group_name_H-M 'R -3 m'
_symmetry_Int_Tables_number 166
_symmetry_space_group_name_Hall '-R 3 2"'
loop_
_atom_site_label
_atom_site_type_symbol
_atom_site_fract_x
_atom_site_fract_y
_atom_site_fract_z
Li1 Li 0.0000 0.0000 0.0000
Ta1 Ta 0.0000 0.0000 0.5000
Hg1 Hg 0.0000 0.0000 0.2535
```

---

run z wins, 3.1 kJ/mol of atoms ahead of the next structure.

---

Run w
An optimized crystal structure of LiTb2Hg6. Source: the Alexandria database, functional PBE.

CIF file:
```
data_LiTb2Hg6
_cell_length_a 9.2007
_cell_length_b 9.2007
_cell_length_c 4.9822
_cell_angle_alpha 90.00
_cell_angle_beta 90.00
_cell_angle_gamma 90.00
_symmetry_space_group_name_H-M 'P 42/m n m'
_symmetry_Int_Tables_number 136
_symmetry_space_group_name_Hall '-P 4n 2n'
loop_
_atom_site_label
_atom_site_type_symbol
_atom_site_fract_x
_atom_site_fract_y
_atom_site_fract_z
Li1 Li 0.0000 0.0000 0.0000
Tb1 Tb 0.2069 0.2069 0.5000
Hg1 Hg 0.0395 0.3313 0.0000
Hg2 Hg 0.1257 0.8743 0.5000
```

---

Run x
An optimized crystal structure of LiTb2Hg6. Source: the Alexandria database, functional PBE.

CIF file:
```
data_LiTb2Hg6
_cell_length_a 7.3953
_cell_length_b 13.5685
_cell_length_c 4.3430
_cell_angle_alpha 90.00
_cell_angle_beta 90.00
_cell_angle_gamma 90.00
_symmetry_space_group_name_H-M 'C m m m'
_symmetry_Int_Tables_number 65
_symmetry_space_group_name_Hall '-C 2 2'
loop_
_atom_site_label
_atom_site_type_symbol
_atom_site_fract_x
_atom_site_fract_y
_atom_site_fract_z
Li1 Li 0.0000 0.0000 0.0000
Tb1 Tb 0.0000 0.2137 0.5000
Hg1 Hg 0.1995 0.3582 0.0000
Hg2 Hg 0.2330 0.0000 0.5000
```

---

run w wins, 6.0 kJ/mol of atoms ahead of the next structure.